Entry from Alexandria: a relaxed Se3NCl crystal (PBE).

Cell and atoms, written as POSCAR:
```
Se3NCl
1.0
4.490 0.000 0.000
0.000 4.490 0.000
0.000 0.000 4.490
Se N Cl
3 1 1
Direct
0.000 0.000 0.500
0.000 0.500 0.000
0.500 0.000 0.000
0.000 0.000 0.000
0.500 0.500 0.500
```

## Properties
Magnetization ... 0.00 μB per cell
Total DFT energy (no corrections) ... -15.14 eV per cell
Energy relative to the elements, uncorrected ... 1098 meV/atom
Energy above the lowest structure with this stoichiometry ... 0.0 meV/atom
ρ ... 5.25 Mg/m³

---

Entry from Alexandria: a relaxed In2BiPd5 crystal (PBE).

Cell and atoms, written as POSCAR:
```
In2BiPd5
1.0
-2.214 2.214 7.342
2.214 -2.214 7.342
2.214 2.214 -7.342
In Bi Pd
2 1 5
Direct
0.244 0.244 0.000
0.756 0.756 0.000
0.500 0.500 0.000
0.000 0.000 0.000
0.132 0.632 0.500
0.368 0.868 0.500
0.632 0.132 0.500
0.868 0.368 0.500
```

## Properties
Magnetization ... 0.00 μB per cell
Formation energy ... -0.37 eV per atom
Total DFT energy (no corrections) ... -38.27 eV per cell
ρ ... 11.20 Mg/m³

---

Entry from Alexandria: a relaxed Zr2SbPb crystal (PBE).

Cell and atoms, written as POSCAR:
```
Zr2SbPb
1.0
2.214 -2.248 0.000
2.214 2.248 0.000
0.000 0.000 11.148
Zr Sb Pb
2 1 1
Direct
0.000 0.000 0.000
0.500 0.500 0.206
0.500 0.500 0.792
0.000 0.000 0.439
```

## Properties
Magnetization ... 0.00 μB per cell
Total DFT energy (no corrections) ... -25.42 eV per cell
Energy relative to the elements, uncorrected ... -123 meV/atom
Energy above the lowest structure with this stoichiometry ... 220.6 meV/atom
ρ ... 7.65 Mg/m³